Compound: La2FeCoC
Source: Alexandria
Functional: PBE
Structure: optimized geometry Values from VASP.

Computed properties:
Formation energy from the elements in meV per atom: 44
Magnetic moment in Bohr magnetons per cell: 1.42

Geometry as Quantum ESPRESSO input:
```
&SYSTEM
  ibrav = 0, nat = 5, ntyp = 4
/
ATOMIC_SPECIES
La 138.91 La.upf
Fe 55.84 Fe.upf
Co 58.93 Co.upf
C 12.01 C.upf
CELL_PARAMETERS angstrom
5.2570 0.0000 0.0000
0.0000 5.2570 0.0000
0.0000 0.0000 3.6481
ATOMIC_POSITIONS angstrom
La 0.0000 2.6285 0.0000
La 2.6285 0.0000 0.0000
Fe 0.0000 0.0000 1.8241
Co 2.6285 2.6285 1.8241
C 0.0000 0.0000 0.0000
```